Computed, not measured: a geometry-optimized PmDy14Zr structure at the PBE level of DFT.

Computed properties:
total DFT energy (no corrections)	-4.8218	eV/atom
Fermi-level density of states	19.621	states/eV/cell
size of the total moment	0.000	μB/f.u.
crystal system	tetragonal
DFT formation energy	0.036	eV/atom

a b c (Å): 7.054 7.054 9.936
angles (deg): 90.00 90.00 90.00
Fractional coordinates of all 16 atoms:
Pm: 0.000 0.000 0.000
Dy: 0.000 0.000 0.500
Dy: 0.000 0.500 0.000
Dy: 0.000 0.500 0.500
Dy: 0.255 0.255 0.246
Dy: 0.255 0.255 0.754
Dy: 0.255 0.745 0.246
Dy: 0.255 0.745 0.754
Dy: 0.500 0.000 0.000
Dy: 0.500 0.000 0.500
Dy: 0.500 0.500 0.500
Dy: 0.745 0.255 0.246
Dy: 0.745 0.255 0.754
Dy: 0.745 0.745 0.246
Dy: 0.745 0.745 0.754
Zr: 0.500 0.500 0.000